! MnB2PO6, relaxed, DFT GGA+U; values from VASP
&SYSTEM
  ibrav = 0, nat = 20, ntyp = 4
/
ATOMIC_SPECIES
Mn 54.94 Mn.upf
B 10.81 B.upf
P 30.97 P.upf
O 16.00 O.upf
ATOMIC_POSITIONS crystal
Mn 0.098 0.902 0.750
Mn 0.902 0.098 0.250
B 0.277 0.413 0.789
B 0.413 0.277 0.289
B 0.587 0.723 0.711
B 0.723 0.587 0.211
P 0.277 0.723 0.250
P 0.723 0.277 0.750
O 0.044 0.803 0.358
O 0.182 0.630 0.873
O 0.197 0.956 0.142
O 0.284 0.341 0.501
O 0.341 0.284 0.001
O 0.370 0.818 0.627
O 0.630 0.182 0.373
O 0.659 0.716 0.999
O 0.716 0.659 0.499
O 0.803 0.044 0.858
O 0.818 0.370 0.127
O 0.956 0.197 0.642
CELL_PARAMETERS angstrom
6.229 -3.706 0.000
6.229 3.706 0.000
-1.133 0.000 4.748
! * E_tot: -7.317 eV/atom
! * symmetry: C2/c